# MgAlPS2

A PBEsol-optimized structure of MgAlPS2 (meta-GGA SCAN, Alexandria via LeMat-Bulk).

Output
* symmetry: P4/mmm, No. 123
* formation energy from raw total energies: -0.0829 eV/atom

a b c (Å): 4.6297 4.6297 4.5755
angles (deg): 90.00 90.00 90.00
Fractional coordinates of all 5 atoms:
S 0.5000 0.0000 0.0000
S 0.0000 0.5000 0.0000
Al 0.0000 0.0000 0.0000
P 0.0000 0.0000 0.5000
Mg 0.5000 0.5000 0.5000